Li7Mn2Co3O12 | GGA+U | relaxed

E above lowest polymorph	22.1	meV/atom
total moment	14.0	μB/cell

abc: 5.119 8.603 5.157
angles: 90.00 111.21 90.00
Space group P2/m (No. 10)
Asymmetric unit:
Li (0.000, 0.000, 0.000) [1 per cell]
Li (0.000, 0.163, 0.500) [2 per cell]
Li (0.000, 0.500, 0.500) [1 per cell]
Li (0.500, 0.000, 0.500) [1 per cell]
Li (0.500, 0.329, 0.500) [2 per cell]
Mn (0.500, 0.167, 0.000) [2 per cell]
Co (0.000, 0.332, 0.000) [2 per cell]
Co (0.500, 0.500, 0.000) [1 per cell]
O (0.238, 0.500, 0.212) [2 per cell]
O (0.253, 0.176, 0.212) [4 per cell]
O (0.267, 0.327, 0.760) [4 per cell]
O (0.283, 0.000, 0.766) [2 per cell]